(1)
FeTcNi2 after structural relaxation, computed with PBE.

Raw total energy, eV/atom: -7.485
Crystal system: tetragonal
Calculated formation energy, eV per atom: 0.11
Offset from the most stable computed form, meV/atom: 116.2

The structure in POSCAR format:
```
FeTcNi2
1.0
3.565 0.000 0.000
0.000 3.565 0.000
0.000 0.000 3.732
Fe Tc Ni
1 1 2
Direct
0.000 0.000 0.000
0.500 0.500 0.000
0.000 0.500 0.500
0.500 0.000 0.500
```

***

(2)
Nd14DyTm after structural relaxation, computed with PBE.

Raw total energy, eV/atom: -4.725
Crystal system: tetragonal
Calculated formation energy, eV per atom: 0.01

The structure in POSCAR format:
```
Nd14DyTm
1.0
7.320 0.000 0.000
0.000 7.320 0.000
0.000 0.000 10.347
Nd Dy Tm
14 1 1
Direct
0.000 0.000 0.000
0.000 0.500 0.000
0.000 0.500 0.500
0.250 0.250 0.253
0.250 0.250 0.747
0.250 0.750 0.253
0.250 0.750 0.747
0.500 0.000 0.000
0.500 0.000 0.500
0.500 0.500 0.000
0.750 0.250 0.253
0.750 0.250 0.747
0.750 0.750 0.253
0.750 0.750 0.747
0.000 0.000 0.500
0.500 0.500 0.500
```

***

(3)
Co2CuCl after structural relaxation, computed with PBE.

Raw total energy, eV/atom: -4.309
Energy relative to the elements, uncorrected, eV/atom: 0.73
Crystal system: cubic
Offset from the most stable computed form, meV/atom: 521.5

The structure in POSCAR format:
```
Co2CuCl
1.0
0.000 2.986 2.986
2.986 0.000 2.986
2.986 2.986 0.000
Co Cu Cl
2 1 1
Direct
0.000 0.000 0.000
0.250 0.250 0.250
0.750 0.750 0.750
0.500 0.500 0.500
```

***

(4)
TaTeP2 after structural relaxation, computed with PBE.

Raw total energy, eV/atom: -6.434
Energy relative to the elements, uncorrected, eV/atom: 0.02
Crystal system: monoclinic

The structure in POSCAR format:
```
TaTeP2
1.0
4.274 -1.685 0.000
4.274 1.685 0.000
-0.329 0.000 5.490
Ta Te P
1 1 2
Direct
0.000 0.000 0.000
0.500 0.500 0.500
0.287 0.287 0.849
0.713 0.713 0.151
```

***

(5)
YHo4Tc2 after structural relaxation, computed with PBE.

Raw total energy, eV/atom: -6.539
Crystal system: monoclinic
Calculated formation energy, eV per atom: -0.04

The structure in POSCAR format:
```
YHo4Tc2
1.0
7.790 0.000 0.000
0.000 6.281 0.000
-2.930 0.000 7.321
Y Ho Tc
2 8 4
Direct
0.026 0.250 0.158
0.974 0.750 0.842
0.240 0.501 0.584
0.240 0.999 0.584
0.324 0.750 0.250
0.387 0.250 0.026
0.613 0.750 0.974
0.676 0.250 0.750
0.760 0.001 0.416
0.760 0.499 0.416
0.034 0.250 0.754
0.423 0.250 0.383
0.577 0.750 0.617
0.966 0.750 0.246
```

***

(6)
Zr2InCl after structural relaxation, computed with PBE.

Raw total energy, eV/atom: -5.792
Energy relative to the elements, uncorrected, eV/atom: -0.37
Crystal system: orthorhombic
Offset from the most stable computed form, meV/atom: 211.8

The structure in POSCAR format:
```
Zr2InCl
1.0
3.364 0.000 0.000
0.000 3.829 0.000
0.000 0.000 7.112
Zr In Cl
2 1 1
Direct
0.000 0.000 0.000
0.500 0.500 0.263
0.500 0.500 0.766
0.000 0.000 0.391
```